Entry 1:
{
  "formula": "NbTcHPt2",
  "functional": "PBE",
  "state": "relaxed",
  "lattice": [[3.9544, 0.0000, 0.0000], [0.0000, 3.9544, 0.0000], [0.0000, 0.0000, 4.1703]],
  "species": ["H", "Nb", "Tc", "Pt", "Pt"],
  "frac_coords": [[0.0000, 0.0000, 0.0000], [0.5000, 0.5000, 0.5000], [0.0000, 0.0000, 0.5000], [0.0000, 0.5000, 0.0000], [0.5000, 0.0000, 0.0000]],
  "vol_a3_per_atom": 13.0,
  "dft_energy_ev_per_atom": -7.45,
  "magnetic_moment_mub_per_atom": 0.000
}

Entry 2:
{
  "formula": "Li3Au",
  "functional": "PBE",
  "state": "relaxed",
  "lattice": [[-2.9461, 2.9115, 0.1844], [-2.5286, -2.4181, -2.2191], [1.4650, -1.7283, 4.0815]],
  "species": ["Au", "Li", "Li", "Li"],
  "frac_coords": [[0.0000, 0.9169, 0.0000], [0.2499, 0.6664, 0.4997], [0.5000, 0.4166, 0.0000], [0.7501, 0.1667, 0.5003]],
  "ef_kj_per_mol_atoms": -38.4,
  "vol_a3_per_atom": 15.6,
  "magnetic_moment_mub_per_atom": 0.000
}

Entry 3:
{
  "formula": "AgSnPb2S5",
  "functional": "PBE",
  "state": "relaxed",
  "lattice": [[-0.2219, 0.0350, -3.8661], [-5.8073, -7.5602, 2.2045], [-9.5906, 7.5475, 0.6189]],
  "species": ["Ag", "Ag", "Sn", "Sn", "Pb", "Pb", "Pb", "Pb", "S", "S", "S", "S", "S", "S", "S", "S", "S", "S"],
  "frac_coords": [[0.8002, 0.6005, 0.5238], [0.1998, 0.3995, 0.0238], [0.5448, 0.0896, 0.9347], [0.4552, 0.9104, 0.4347], [0.8671, 0.7343, 0.8206], [0.1481, 0.2961, 0.6651], [0.1329, 0.2657, 0.3206], [0.8519, 0.7039, 0.1651], [0.3429, 0.6858, 0.0032], [0.6684, 0.3368, 0.8860], [0.4775, 0.9549, 0.7710], [0.2947, 0.5895, 0.6658], [0.9780, 0.9560, 0.5537], [0.6571, 0.3142, 0.5032], [0.3316, 0.6632, 0.3860], [0.5225, 0.0451, 0.2710], [0.7053, 0.4105, 0.1658], [0.0220, 0.0440, 0.0537]],
  "raw_formation_energy_ev_per_atom": -0.278,
  "vol_a3_per_atom": 25.2,
  "magnetic_moment_mub_per_atom": 0.000
}

Entry 4:
{
  "formula": "MnCrC",
  "functional": "PBE",
  "state": "relaxed",
  "lattice": [[-1.9982, -1.7933, -0.6402], [3.2940, -3.3157, -0.9935], [0.3324, 0.1187, 4.5800]],
  "species": ["Mn", "Mn", "Cr", "Cr", "C", "C"],
  "frac_coords": [[0.6198, 0.8732, 0.2397], [0.3802, 0.1268, 0.7603], [0.8807, 0.6309, 0.7614], [0.1193, 0.3691, 0.2386], [0.2477, 0.7517, 0.4954], [0.7523, 0.2483, 0.5046]],
  "ef_kj_per_mol_atoms": 0.6,
  "de_polymorph_ev_per_atom": 0.000,
  "vol_a3_per_atom": 9.5,
  "magnetic_moment_mub_per_atom": 0.000
}

Entry 5:
{
  "formula": "K2SeSO6",
  "functional": "PBE",
  "state": "relaxed",
  "lattice": [[-4.4666, -2.9029, -2.7831], [1.3074, -5.7723, 1.0459], [-3.6157, -4.2276, 2.2843]],
  "species": ["K", "K", "Se", "S", "O", "O", "O", "O", "O", "O"],
  "frac_coords": [[0.7500, 0.2500, 0.5000], [0.2500, 0.7500, 0.5000], [0.0000, 0.0000, 0.0000], [0.5000, 0.5000, 0.0000], [0.2564, 0.2564, 0.4870], [0.6644, 0.6644, 0.0002], [0.2577, 0.7423, 0.0000], [0.7423, 0.2577, 0.0000], [0.3356, 0.3356, 0.9998], [0.7436, 0.7436, 0.5130]],
  "raw_formation_energy_ev_per_atom": -0.825,
  "vol_a3_per_atom": 13.2,
  "magnetic_moment_mub_per_atom": 0.000
}

Entry 6:
{
  "formula": "NaTlIn2Ag",
  "functional": "PBE",
  "state": "relaxed",
  "lattice": [[4.8318, 0.0000, 0.0000], [-2.4159, 8.3911, 0.0000], [0.0000, 0.0000, 6.4004]],
  "species": ["Na", "Na", "Tl", "Tl", "In", "In", "In", "In", "Ag", "Ag"],
  "frac_coords": [[0.4075, 0.8151, 0.7500], [0.5925, 0.1849, 0.2500], [0.0000, 0.0000, 0.0000], [0.0000, 0.0000, 0.5000], [0.1901, 0.3801, 0.0020], [0.8099, 0.6199, 0.9980], [0.1901, 0.3801, 0.4980], [0.8099, 0.6199, 0.5020], [0.6510, 0.3019, 0.7500], [0.3490, 0.6981, 0.2500]],
  "ef_kj_per_mol_atoms": -1.4,
  "de_polymorph_ev_per_atom": 0.000,
  "vol_a3_per_atom": 26.0,
  "magnetic_moment_mub_per_atom": 0.000
}

Entry 7:
{
  "formula": "HgPPb2",
  "functional": "PBE",
  "state": "relaxed",
  "lattice": [[0.0000, 3.7420, 3.7420], [3.7420, 0.0000, 3.7420], [3.7420, 3.7420, 0.0000]],
  "species": ["Pb", "Pb", "P", "Hg"],
  "frac_coords": [[0.2500, 0.2500, 0.2500], [0.7500, 0.7500, 0.7500], [0.0000, 0.0000, 0.0000], [0.5000, 0.5000, 0.5000]],
  "ef_kj_per_mol_atoms": 21.9,
  "de_polymorph_ev_per_atom": 0.185,
  "vol_a3_per_atom": 26.2,
  "magnetic_moment_mub_per_atom": 0.000
}

Entry 8:
{
  "formula": "NiIBr2",
  "functional": "PBE",
  "state": "relaxed",
  "lattice": [[7.2114, 0.0000, 0.0000], [0.0000, 7.2114, 0.0000], [3.6057, 3.6057, 4.9255]],
  "species": ["I", "I", "Ni", "Ni", "Br", "Br", "Br", "Br"],
  "frac_coords": [[0.0000, 0.0000, 0.0000], [0.7500, 0.2500, 0.5000], [0.5000, 0.5000, 0.0000], [0.2500, 0.7500, 0.5000], [0.4965, 0.1250, 0.2500], [0.2535, 0.6250, 0.2500], [0.3750, 0.5035, 0.7500], [0.8750, 0.7465, 0.7500]],
  "de_polymorph_ev_per_atom": 0.306,
  "raw_formation_energy_ev_per_atom": 0.118,
  "vol_a3_per_atom": 32.0,
  "magnetic_moment_mub_per_atom": 0.240
}

Entry 9:
{
  "formula": "TlAsRh",
  "functional": "PBE",
  "state": "relaxed",
  "lattice": [[3.4054, 0.0000, 0.0000], [-1.7027, 2.9491, 0.0000], [0.0000, 0.0000, 6.1865]],
  "species": ["Tl", "Rh", "As"],
  "frac_coords": [[0.3333, 0.6667, 0.6482], [0.6667, 0.3333, 0.2902], [0.0000, 0.0000, 0.0616]],
  "ef_kj_per_mol_atoms": -11.9,
  "de_polymorph_ev_per_atom": 0.169,
  "vol_a3_per_atom": 20.7,
  "magnetic_moment_mub_per_atom": 0.000
}

Entry 10:
{
  "formula": "Nd12Ga6Sn",
  "functional": "PBE",
  "state": "relaxed",
  "lattice": [[8.5177, 0.0000, -3.0115], [-4.2588, 7.3765, -3.0115], [0.0000, 0.0000, 9.0344]],
  "species": ["Nd", "Nd", "Nd", "Nd", "Nd", "Nd", "Nd", "Nd", "Nd", "Nd", "Nd", "Nd", "Ga", "Ga", "Ga", "Ga", "Ga", "Ga", "Sn"],
  "frac_coords": [[0.2946, 0.1060, 0.8114], [0.2946, 0.4832, 0.1886], [0.7054, 0.5168, 0.8114], [0.7054, 0.8940, 0.1886], [0.1060, 0.8114, 0.2946], [0.4832, 0.1886, 0.2946], [0.5168, 0.8114, 0.7054], [0.8940, 0.1886, 0.7054], [0.8114, 0.2946, 0.1060], [0.1886, 0.2946, 0.4832], [0.8114, 0.7054, 0.5168], [0.1886, 0.7054, 0.8940], [0.3795, 0.5000, 0.8795], [0.6205, 0.5000, 0.1205], [0.5000, 0.8795, 0.3795], [0.5000, 0.1205, 0.6205], [0.8795, 0.3795, 0.5000], [0.1205, 0.6205, 0.5000], [0.0000, 0.0000, 0.0000]],
  "ef_kj_per_mol_atoms": -39.0,
  "vol_a3_per_atom": 29.9,
  "magnetic_moment_mub_per_atom": 0.000
}

Entry 11:
{
  "formula": "La2CoSe",
  "functional": "PBE",
  "state": "relaxed",
  "lattice": [[-3.6087, 1.9243, -1.1386], [-0.3760, -2.6420, -3.2734], [-6.1160, -6.3902, 8.5846]],
  "species": ["La", "La", "La", "La", "Co", "Co", "Se", "Se"],
  "frac_coords": [[0.7500, 0.6865, 0.3729], [0.2500, 0.3135, 0.6271], [0.7500, 0.9371, 0.8741], [0.2500, 0.0629, 0.1259], [0.2500, 0.4822, 0.9643], [0.7500, 0.5178, 0.0357], [0.2500, 0.1894, 0.3787], [0.7500, 0.8106, 0.6213]],
  "raw_formation_energy_ev_per_atom": -0.987,
  "vol_a3_per_atom": 27.2,
  "magnetic_moment_mub_per_atom": 0.129
}

Entry 12:
{
  "formula": "RbGeSb2",
  "functional": "PBE",
  "state": "relaxed",
  "lattice": [[1.7189, 1.2537, -5.8883], [0.5380, -5.6795, -3.7286], [-7.7203, -0.0435, 1.0656]],
  "species": ["Rb", "Rb", "Ge", "Ge", "Sb", "Sb", "Sb", "Sb"],
  "frac_coords": [[0.1050, 0.2500, 0.7101], [0.8950, 0.7500, 0.2899], [0.7425, 0.2500, 0.9850], [0.2575, 0.7500, 0.0150], [0.7667, 0.8749, 0.7537], [0.4870, 0.6251, 0.7537], [0.2333, 0.1251, 0.2463], [0.5130, 0.3749, 0.2463]],
  "raw_formation_energy_ev_per_atom": -0.150,
  "vol_a3_per_atom": 35.4,
  "magnetic_moment_mub_per_atom": 0.000
}

Entry 13:
{
  "formula": "Sc3Tl2Zn4",
  "functional": "PBE",
  "state": "relaxed",
  "lattice": [[-0.7656, 3.8189, -2.3642], [-4.3143, -1.5320, 3.3127], [6.5273, 3.7653, 3.9683]],
  "species": ["Sc", "Sc", "Sc", "Tl", "Tl", "Zn", "Zn", "Zn", "Zn"],
  "frac_coords": [[0.6630, 0.3260, 0.6736], [0.0000, 0.0000, 0.0000], [0.3370, 0.6740, 0.3264], [0.6187, 0.2375, 0.2799], [0.3813, 0.7625, 0.7201], [0.7404, 0.4808, 0.0568], [0.2596, 0.5192, 0.9432], [0.9587, 0.9175, 0.6145], [0.0413, 0.0825, 0.3855]],
  "ef_kj_per_mol_atoms": -25.0,
  "vol_a3_per_atom": 19.7,
  "magnetic_moment_mub_per_atom": 0.050
}

Entry 14:
{
  "formula": "LaMnMo",
  "functional": "PBE",
  "state": "relaxed",
  "lattice": [[3.9844, 0.0000, 0.0000], [-1.9922, 3.4506, 0.0000], [0.0000, 0.0000, 4.8325]],
  "species": ["La", "Mn", "Mo"],
  "frac_coords": [[0.0000, 0.0000, 0.9955], [0.6667, 0.3333, 0.5206], [0.3333, 0.6667, 0.4839]],
  "ef_kj_per_mol_atoms": 39.3,
  "de_polymorph_ev_per_atom": 0.047,
  "vol_a3_per_atom": 22.1,
  "magnetic_moment_mub_per_atom": 0.000
}

Entry 15:
{
  "formula": "Tm2PuTlO8",
  "functional": "PBE",
  "state": "relaxed",
  "lattice": [[4.9723, -0.1370, -0.0027], [-0.1229, 4.9729, -0.0052], [0.0042, 0.0076, 7.0762]],
  "species": ["Tm", "Tm", "Pu", "Tl", "O", "O", "O", "O", "O", "O", "O", "O"],
  "frac_coords": [[0.5000, 0.5000, 0.7485], [0.5000, 0.5000, 0.2515], [0.0000, 0.0000, 0.0000], [0.0000, 0.0000, 0.5000], [0.1914, 0.8084, 0.2086], [0.7050, 0.7053, 0.0000], [0.8086, 0.1916, 0.2086], [0.8086, 0.1916, 0.7914], [0.2950, 0.2947, 0.0000], [0.1914, 0.8084, 0.7914], [0.6974, 0.6973, 0.5000], [0.3026, 0.3027, 0.5000]],
  "raw_formation_energy_ev_per_atom": -2.507,
  "vol_a3_per_atom": 14.6,
  "magnetic_moment_mub_per_atom": 0.083
}

Entry 16:
{
  "formula": "Pa2Ga4Cu3Pt",
  "functional": "PBE",
  "state": "relaxed",
  "lattice": [[4.1916, 0.0000, 0.0000], [0.0000, 4.1916, 0.0000], [0.0000, 0.0000, 9.9345]],
  "species": ["Pa", "Pa", "Ga", "Ga", "Ga", "Ga", "Cu", "Cu", "Cu", "Pt"],
  "frac_coords": [[0.5000, 0.0000, 0.2530], [0.0000, 0.5000, 0.7470], [0.5000, 0.5000, 0.0000], [0.0000, 0.0000, 0.0000], [0.5000, 0.0000, 0.6382], [0.0000, 0.5000, 0.3618], [0.0000, 0.0000, 0.5000], [0.5000, 0.0000, 0.8725], [0.0000, 0.5000, 0.1275], [0.5000, 0.5000, 0.5000]],
  "ef_kj_per_mol_atoms": -37.4,
  "vol_a3_per_atom": 17.5,
  "magnetic_moment_mub_per_atom": 0.000
}

Entry 17:
{
  "formula": "Ag2RuRh",
  "functional": "PBE",
  "state": "relaxed",
  "lattice": [[2.7302, 0.0000, 0.0000], [0.0000, 4.3396, 0.0000], [0.0000, 0.0000, 5.4087]],
  "species": ["Ag", "Ag", "Rh", "Ru"],
  "frac_coords": [[0.0000, 0.0000, 0.9999], [0.0000, 0.0000, 0.5001], [0.5000, 0.5000, 0.2500], [0.5000, 0.5000, 0.7500]],
  "ef_kj_per_mol_atoms": 48.8,
  "de_polymorph_ev_per_atom": 0.296,
  "vol_a3_per_atom": 16.0,
  "magnetic_moment_mub_per_atom": 0.550
}

Entry 18:
{
  "formula": "Zr2AlSi",
  "functional": "PBE",
  "state": "relaxed",
  "lattice": [[-1.5646, 2.0208, -2.8664], [-4.9554, -1.7371, 1.4802], [1.8328, 6.5757, 3.6354]],
  "species": ["Zr", "Zr", "Zr", "Zr", "Al", "Al", "Si", "Si"],
  "frac_coords": [[0.7500, 0.2042, 0.4332], [0.2500, 0.7958, 0.5668], [0.2500, 0.7786, 0.0782], [0.7500, 0.2214, 0.9218], [0.2500, 0.3330, 0.2109], [0.7500, 0.6670, 0.7891], [0.7500, 0.6525, 0.2915], [0.2500, 0.3475, 0.7085]],
  "de_polymorph_ev_per_atom": 0.000,
  "raw_formation_energy_ev_per_atom": -0.735,
  "vol_a3_per_atom": 18.9,
  "magnetic_moment_mub_per_atom": 0.000
}

Entry 19:
{
  "formula": "AcDyIrPb",
  "functional": "PBE",
  "state": "relaxed",
  "lattice": [[-3.7631, -3.4296, -1.7055], [0.1313, -5.1313, 1.5762], [-3.6964, -1.8515, 3.4265]],
  "species": ["Pb", "Ac", "Ir", "Dy"],
  "frac_coords": [[0.5000, 0.5000, 0.5000], [0.2500, 0.2500, 0.2500], [0.0000, 0.0000, 0.0000], [0.7500, 0.7500, 0.7500]],
  "ef_kj_per_mol_atoms": -31.3,
  "vol_a3_per_atom": 27.4,
  "magnetic_moment_mub_per_atom": 0.000
}

Entry 20:
{
  "formula": "TaMn2SbRu",
  "functional": "PBE",
  "state": "relaxed",
  "lattice": [[-3.3733, 2.8400, -0.9014], [-1.2668, -2.7728, -3.9957], [-2.7552, -2.4547, 2.5769]],
  "species": ["Sb", "Mn", "Mn", "Ru", "Ta"],
  "frac_coords": [[0.0000, 0.0000, 0.0000], [0.0000, 0.0000, 0.5000], [0.5000, 0.0000, 0.0000], [0.5000, 0.5000, 0.5000], [0.0000, 0.5000, 0.0000]],
  "raw_formation_energy_ev_per_atom": 2.079,
  "vol_a3_per_atom": 20.4,
  "magnetic_moment_mub_per_atom": 0.336
}

Entry 21:
{
  "formula": "BeCdAu2",
  "functional": "PBE",
  "state": "relaxed",
  "lattice": [[4.0446, 0.0000, 0.0000], [2.0223, 3.5027, 0.0000], [2.0223, 1.1676, 5.0242]],
  "species": ["Be", "Cd", "Au", "Au"],
  "frac_coords": [[0.6729, 0.6729, 0.9812], [0.4967, 0.4967, 0.5099], [0.0538, 0.0538, 0.8387], [0.2766, 0.2766, 0.1702]],
  "ef_kj_per_mol_atoms": -6.3,
  "de_polymorph_ev_per_atom": 0.090,
  "vol_a3_per_atom": 17.8,
  "magnetic_moment_mub_per_atom": 0.000
}

Entry 22:
{
  "formula": "SrIrSeN2",
  "functional": "PBE",
  "state": "relaxed",
  "lattice": [[3.9822, 0.0000, 0.0000], [0.0000, 3.9822, 0.0000], [0.0000, 0.0000, 5.4345]],
  "species": ["Sr", "Ir", "Se", "N", "N"],
  "frac_coords": [[0.5000, 0.5000, 0.5000], [0.0000, 0.0000, 0.0000], [0.0000, 0.0000, 0.5000], [0.0000, 0.5000, 0.0000], [0.5000, 0.0000, 0.0000]],
  "de_polymorph_ev_per_atom": 0.000,
  "raw_formation_energy_ev_per_atom": 0.112,
  "vol_a3_per_atom": 17.2,
  "magnetic_moment_mub_per_atom": 0.026
}

Entry 23:
{
  "formula": "GeAsAu",
  "functional": "PBE",
  "state": "relaxed",
  "lattice": [[-3.1691, -2.7319, 1.6340], [-1.3108, -3.5868, -2.3650], [1.0930, -4.1289, 1.3905]],
  "species": ["As", "Au", "Ge"],
  "frac_coords": [[0.0000, 0.0000, 0.0000], [0.2500, 0.2500, 0.2500], [0.5000, 0.5000, 0.5000]],
  "ef_kj_per_mol_atoms": 9.5,
  "de_polymorph_ev_per_atom": 0.179,
  "vol_a3_per_atom": 21.4,
  "magnetic_moment_mub_per_atom": 0.000
}